## HfBeSb (PBE)

Data for an optimized crystal structure of HfBeSb.

Cell lengths 7.7369, 7.7369, 7.7369 Å; angles 152.25, 148.38, 42.56 degrees
Positions (direct):
Hf: 0.1822 0.1822 0.0000
Hf: 0.8178 0.8178 0.0000
Be: 0.2383 0.0000 0.2383
Be: 0.7617 0.0000 0.7617
Sb: 0.3850 0.3850 0.0000
Sb: 0.6150 0.6150 0.0000

Results
total magnetic moment	0.000	μB/f.u.
uncorrected energy	-0.2184	Ha/atom
crystal system	orthorhombic
uncorrected formation energy	-0.009	eV/atom